[1]
This record from the Alexandria database describes crystalline MnTe4Pt at its relaxed geometry. The functional is PBE.

Calculated values
formation energy without anion corrections	-0.282	eV/atom
final energy	-29.47	eV/f.u.
calculated volume	314.4	Å³/cell

The structure in CIF format:
```
data_MnTe4Pt
_chemical_formula_sum 'Mn2 Te8 Pt2'
_cell_length_a 13.236
_cell_length_b 4.005
_cell_length_c 6.957
_cell_angle_alpha 90.00
_cell_angle_beta 121.50
_cell_angle_gamma 90.00
_space_group_name_H-M_alt 'C 1 2/m 1'
_space_group_IT_number 12
loop_
_space_group_symop_operation_xyz
'x,y,z'
'-x,-y,-z'
'-x,y,-z'
'x,-y,z'
'x+1/2,y+1/2,z'
'-x+1/2,-y+1/2,-z'
'-x+1/2,y+1/2,-z'
'x+1/2,-y+1/2,z'
loop_
_atom_site_label
_atom_site_type_symbol
_atom_site_fract_x
_atom_site_fract_y
_atom_site_fract_z
_atom_site_occupancy
Mn1 Mn 0.000 0.000 0.000 1
Te1 Te 0.124 0.000 0.795 1
Te2 Te 0.126 0.500 0.290 1
Pt1 Pt 0.000 0.500 0.500 1
```

***

[2]
This record from the Alexandria database describes crystalline LaMn2Se at its relaxed geometry. The functional is PBE.

Calculated values
formation energy without anion corrections	-0.051	eV/atom
final energy	-26.96	eV/f.u.
calculated volume	348.3	Å³/cell

The structure in CIF format:
```
data_LaMn2Se
_chemical_formula_sum 'La4 Mn8 Se4'
_cell_length_a 4.553
_cell_length_b 4.553
_cell_length_c 16.806
_cell_angle_alpha 90.00
_cell_angle_beta 90.00
_cell_angle_gamma 90.00
_space_group_name_H-M_alt 'I -4 2 d'
_space_group_IT_number 122
_space_group_name_Hall 'I -4 2bw'
loop_
_atom_site_label
_atom_site_type_symbol
_atom_site_fract_x
_atom_site_fract_y
_atom_site_fract_z
_atom_site_occupancy
La1 La 0.000 0.000 0.000 1
Mn1 Mn 0.058 0.250 0.625 1
Se1 Se 0.000 0.000 0.500 1
```